# TaMoW6

TaMoW6 after structural relaxation (PBE, the Open Quantum Materials Database).

Calculated values
space group = P4/mmm
ΔE_f = -5.5 kJ per mole of atoms
spin magnetization = 0.00 μB per formula unit

a = 4.515 Å, b = 4.515 Å, c = 6.394 Å
α = 90.00°, β = 90.00°, γ = 90.00°
Fractional coordinates of all 8 atoms:
W 0.000 0.000 0.500
W 0.500 0.000 0.753
W 0.000 0.500 0.753
W 0.500 0.500 0.000
W 0.500 0.000 0.247
W 0.000 0.500 0.247
Ta 0.500 0.500 0.500
Mo 0.000 0.000 0.000



# CsSiPt

CsSiPt after structural relaxation (PBE, the Open Quantum Materials Database).

Calculated values
VASP energy = -2.51 eV/atom
space group = F-43m
spin magnetization = 0.11 μB per formula unit

a = 5.153 Å, b = 5.153 Å, c = 5.153 Å
α = 60.00°, β = 60.00°, γ = 60.00°
Fractional coordinates of all 3 atoms:
Cs 0.000 0.000 0.000
Si 0.750 0.750 0.750
Pt 0.250 0.250 0.250



# BaTcB

BaTcB after structural relaxation (PBE, the Open Quantum Materials Database).

Calculated values
VASP energy = -3.85 eV/atom
space group = F-43m
spin magnetization = 2.19 μB per formula unit

a = 4.776 Å, b = 4.776 Å, c = 4.776 Å
α = 60.00°, β = 60.00°, γ = 60.00°
Fractional coordinates of all 3 atoms:
Ba 0.000 0.000 0.000
Tc 0.750 0.750 0.750
B 0.250 0.250 0.250



# InBiMo4C2

InBiMo4C2 after structural relaxation (PBE, the Open Quantum Materials Database).

Calculated values
VASP energy = -8.43 eV/atom
space group = P-6m2
spin magnetization = 0.04 μB per formula unit

a = 3.206 Å, b = 3.206 Å, c = 13.902 Å
α = 90.00°, β = 90.00°, γ = 120.00°
Fractional coordinates of all 8 atoms:
Mo 0.000 0.000 0.668
Mo 0.667 0.333 0.176
Mo 0.667 0.333 0.824
Mo 0.000 0.000 0.332
Bi 0.000 0.000 0.000
C 0.333 0.667 0.748
C 0.333 0.667 0.252
In 0.667 0.333 0.500



# Li4Cd2InSi

Li4Cd2InSi after structural relaxation (PBE, the Open Quantum Materials Database).

Calculated values
VASP energy = -2.44 eV/atom
space group = P-4m2

a = 4.539 Å, b = 4.539 Å, c = 6.718 Å
α = 90.00°, β = 90.00°, γ = 90.00°
Fractional coordinates of all 8 atoms:
Li 0.000 0.000 0.000
Li 0.500 0.500 0.500
Li 0.500 0.000 0.233
Li 0.000 0.500 0.767
Si 0.500 0.500 0.000
Cd 0.000 0.500 0.235
Cd 0.500 0.000 0.765
In 0.000 0.000 0.500



# NdP

NdP after structural relaxation (PBE, the Open Quantum Materials Database).

Calculated values
VASP energy = -6.32 eV/atom
space group = P-6m2
spin magnetization = 0.00 μB per formula unit

a = 4.051 Å, b = 4.051 Å, c = 3.692 Å
α = 90.00°, β = 90.00°, γ = 120.00°
Fractional coordinates of all 2 atoms:
Nd 0.667 0.333 0.750
P 0.333 0.667 0.250



# ErFeTc

ErFeTc after structural relaxation (PBE, the Open Quantum Materials Database).

Calculated values
space group = F-43m
ΔE_f = 122.1 kJ per mole of atoms
spin magnetization = 4.05 μB per formula unit

a = 4.419 Å, b = 4.419 Å, c = 4.419 Å
α = 60.00°, β = 60.00°, γ = 60.00°
Fractional coordinates of all 3 atoms:
Fe 0.250 0.250 0.250
Er 0.000 0.000 0.000
Tc 0.750 0.750 0.750



# CsSmLuTe3

CsSmLuTe3 after structural relaxation (PBE, the Open Quantum Materials Database).

Calculated values
VASP energy = -4.44 eV/atom
space group = Cmcm
spin magnetization = 0.45 μB per formula unit

a = 9.240 Å, b = 9.240 Å, c = 10.700 Å
α = 90.00°, β = 90.00°, γ = 147.75°
Fractional coordinates of all 12 atoms:
Te 0.106 0.894 0.037
Te 0.406 0.594 0.250
Te 0.106 0.894 0.463
Te 0.894 0.106 0.537
Te 0.594 0.406 0.750
Te 0.894 0.106 0.963
Lu 0.500 0.500 0.500
Lu 0.500 0.500 0.000
Sm 0.989 0.011 0.250
Sm 0.011 0.989 0.750
Cs 0.728 0.272 0.250
Cs 0.272 0.728 0.750



# SrNdZn2Se2O2

SrNdZn2Se2O2 after structural relaxation (PBE, the Open Quantum Materials Database).

Calculated values
VASP energy = -4.92 eV/atom
space group = P3m1
spin magnetization = 0.59 μB per formula unit

a = 4.097 Å, b = 4.097 Å, c = 11.235 Å
α = 90.00°, β = 90.00°, γ = 120.00°
Fractional coordinates of all 8 atoms:
Nd 0.000 0.000 0.218
Se 0.667 0.333 0.411
Se 0.000 0.000 0.934
Zn 0.333 0.667 0.494
Zn 0.333 0.667 0.002
O 0.333 0.667 0.664
O 0.333 0.667 0.180
Sr 0.667 0.333 0.721



# ErReIr

ErReIr after structural relaxation (PBE, the Open Quantum Materials Database).

Calculated values
space group = F-43m
ΔE_f = 116.2 kJ per mole of atoms
spin magnetization = 2.70 μB per formula unit

a = 4.499 Å, b = 4.499 Å, c = 4.499 Å
α = 60.00°, β = 60.00°, γ = 60.00°
Fractional coordinates of all 3 atoms:
Ir 0.250 0.250 0.250
Re 0.750 0.750 0.750
Er 0.000 0.000 0.000



# ZnInH14O7F5

ZnInH14O7F5 after structural relaxation (PBE, the Open Quantum Materials Database).

Calculated values
VASP energy = -4.79 eV/atom
space group = P-1

a = 6.495 Å, b = 8.743 Å, c = 11.487 Å
α = 120.76°, β = 112.09°, γ = 97.91°
Fractional coordinates of all 56 atoms:
H 0.353 0.609 0.447
H 0.835 0.602 0.944
H 0.729 0.399 0.179
H 0.974 0.219 0.537
H 0.251 0.118 0.856
H 0.543 0.264 0.251
H 0.683 0.095 0.794
H 0.647 0.391 0.553
H 0.744 0.618 0.643
H 0.830 0.376 0.067
H 0.283 0.824 0.807
H 0.609 0.416 0.771
H 0.802 0.738 0.484
H 0.170 0.624 0.933
H 0.271 0.601 0.821
H 0.026 0.781 0.463
H 0.588 0.909 0.263
H 0.717 0.176 0.193
H 0.391 0.584 0.229
H 0.256 0.382 0.357
H 0.198 0.262 0.516
H 0.886 0.835 0.265
H 0.114 0.165 0.735
H 0.749 0.882 0.144
H 0.165 0.398 0.056
H 0.457 0.736 0.749
H 0.317 0.905 0.206
H 0.412 0.091 0.737
O 0.483 0.974 0.302
O 0.969 0.744 0.518
O 0.690 0.482 0.887
O 0.244 0.501 0.431
O 0.031 0.256 0.482
O 0.756 0.499 0.569
O 0.702 0.300 0.258
O 0.234 0.542 0.871
O 0.721 0.809 0.185
O 0.279 0.191 0.815
O 0.298 0.700 0.742
O 0.517 0.026 0.698
O 0.310 0.518 0.113
O 0.766 0.458 0.129
F 0.925 0.207 0.965
F 0.473 0.271 0.580
F 0.123 0.870 0.390
F 0.715 0.787 0.768
F 0.527 0.729 0.420
F 0.877 0.130 0.610
F 0.285 0.213 0.232
F 0.755 0.995 0.076
F 0.075 0.793 0.035
F 0.245 0.005 0.924
In 0.500 0.000 0.500
In 0.000 0.000 0.000
Zn 0.000 0.500 0.500
Zn 0.500 0.500 0.000



# NbTeAuO

NbTeAuO after structural relaxation (PBE, the Open Quantum Materials Database).

Calculated values
VASP energy = -6.15 eV/atom
space group = Pmc2_1
spin magnetization = 0.01 μB per formula unit

a = 3.412 Å, b = 8.972 Å, c = 5.740 Å
α = 90.00°, β = 90.00°, γ = 90.00°
Fractional coordinates of all 8 atoms:
Nb 0.500 0.138 0.449
Nb 0.500 0.862 0.949
Au 0.000 0.344 0.193
Au 0.000 0.656 0.693
O 0.500 0.026 0.147
O 0.500 0.974 0.647
Te 0.000 0.326 0.702
Te 0.000 0.674 0.202



# Gd3SiI3

Gd3SiI3 after structural relaxation (PBE, the Open Quantum Materials Database).

Calculated values
VASP energy = -4.58 eV/atom
space group = I4_132
spin magnetization = 0.00 μB per formula unit

a = 10.551 Å, b = 10.551 Å, c = 10.551 Å
α = 109.47°, β = 109.47°, γ = 109.47°
Fractional coordinates of all 28 atoms:
I 0.493 0.007 0.250
I 0.014 0.007 0.757
I 0.257 0.243 0.250
I 0.007 0.750 0.993
I 0.243 0.493 0.986
I 0.243 0.750 0.757
I 0.007 0.257 0.514
I 0.750 0.257 0.743
I 0.493 0.486 0.743
I 0.486 0.243 0.993
I 0.750 0.493 0.507
I 0.257 0.014 0.507
Si 0.500 0.750 0.500
Si 0.750 0.000 0.000
Si 0.000 0.500 0.250
Si 0.750 0.750 0.250
Gd 0.536 0.768 0.018
Gd 0.250 0.518 0.482
Gd 0.768 0.518 0.036
Gd 0.732 0.768 0.750
Gd 0.518 0.982 0.750
Gd 0.964 0.982 0.232
Gd 0.518 0.536 0.268
Gd 0.732 0.964 0.482
Gd 0.982 0.732 0.464
Gd 0.250 0.732 0.268
Gd 0.768 0.250 0.232
Gd 0.982 0.250 0.018



# Si2HgMo

Si2HgMo after structural relaxation (PBE, the Open Quantum Materials Database).

Calculated values
VASP energy = -4.67 eV/atom
space group = F-43m
spin magnetization = 0.00 μB per formula unit

a = 4.577 Å, b = 4.577 Å, c = 4.577 Å
α = 60.00°, β = 60.00°, γ = 60.00°
Fractional coordinates of all 4 atoms:
Si 0.750 0.750 0.750
Si 0.000 0.000 0.000
Mo 0.500 0.500 0.500
Hg 0.250 0.250 0.250



# Hf2ZrIn3Ir2

Hf2ZrIn3Ir2 after structural relaxation (PBE, the Open Quantum Materials Database).

Calculated values
VASP energy = -7.39 eV/atom
space group = Amm2
spin magnetization = 0.00 μB per formula unit

a = 3.273 Å, b = 7.545 Å, c = 7.545 Å
α = 120.18°, β = 90.00°, γ = 90.00°
Fractional coordinates of all 8 atoms:
In 0.500 0.000 0.231
In 0.500 0.768 0.768
In 0.500 0.231 0.000
Hf 0.000 0.000 0.578
Hf 0.000 0.578 0.000
Zr 0.000 0.421 0.421
Ir 0.500 0.670 0.333
Ir 0.500 0.333 0.670



# Cs2HfGeBr6

Cs2HfGeBr6 after structural relaxation (PBE, the Open Quantum Materials Database).

Calculated values
VASP energy = -3.77 eV/atom
space group = Fm-3m
spin magnetization = 2.00 μB per formula unit

a = 8.179 Å, b = 8.179 Å, c = 8.179 Å
α = 60.00°, β = 60.00°, γ = 60.00°
Fractional coordinates of all 10 atoms:
Br 0.730 0.270 0.270
Br 0.730 0.270 0.730
Br 0.270 0.730 0.270
Br 0.730 0.730 0.270
Br 0.270 0.730 0.730
Br 0.270 0.270 0.730
Cs 0.250 0.250 0.250
Cs 0.750 0.750 0.750
Ge 0.000 0.000 0.000
Hf 0.500 0.500 0.500



# PmNbSi

PmNbSi after structural relaxation (PBE, the Open Quantum Materials Database).

Calculated values
VASP energy = -6.74 eV/atom
space group = F-43m
spin magnetization = 1.07 μB per formula unit

a = 4.630 Å, b = 4.630 Å, c = 4.630 Å
α = 60.00°, β = 60.00°, γ = 60.00°
Fractional coordinates of all 3 atoms:
Nb 0.250 0.250 0.250
Pm 0.750 0.750 0.750
Si 0.000 0.000 0.000



# Cu7Ag

Cu7Ag after structural relaxation (PBE, the Open Quantum Materials Database).

Calculated values
space group = P2/m
ΔE_f = 5.5 kJ per mole of atoms

a = 4.513 Å, b = 2.640 Å, c = 8.628 Å
α = 90.00°, β = 100.72°, γ = 90.00°
Fractional coordinates of all 8 atoms:
Cu 0.753 0.000 0.744
Cu 0.758 0.500 0.262
Cu 0.000 0.500 0.000
Cu 0.500 0.500 0.500
Cu 0.000 0.000 0.500
Cu 0.242 0.500 0.738
Cu 0.247 0.000 0.256
Ag 0.500 0.000 0.000



# AgAsI6

AgAsI6 after structural relaxation (PBE, the Open Quantum Materials Database).

Calculated values
VASP energy = -1.89 eV/atom
space group = F-43m

a = 7.748 Å, b = 7.748 Å, c = 7.748 Å
α = 60.00°, β = 60.00°, γ = 60.00°
Fractional coordinates of all 8 atoms:
I 0.745 0.255 0.745
I 0.255 0.255 0.745
I 0.255 0.745 0.255
I 0.255 0.745 0.745
I 0.745 0.745 0.255
I 0.745 0.255 0.255
As 0.000 0.000 0.000
Ag 0.250 0.250 0.250



# Hf6Al16Pd7

Hf6Al16Pd7 after structural relaxation (PBE, the Open Quantum Materials Database).

Calculated values
VASP energy = -6.08 eV/atom
space group = Fm-3m
spin magnetization = 0.00 μB per formula unit

a = 8.747 Å, b = 8.747 Å, c = 8.747 Å
α = 120.00°, β = 90.00°, γ = 120.00°
Fractional coordinates of all 29 atoms:
Al 0.335 0.331 0.665
Al 0.120 0.759 0.880
Al 0.120 0.241 0.361
Al 0.639 0.759 0.880
Al 0.335 0.669 0.004
Al 0.880 0.759 0.120
Al 0.120 0.241 0.880
Al 0.665 0.669 0.335
Al 0.335 0.669 0.665
Al 0.880 0.759 0.639
Al 0.004 0.669 0.335
Al 0.996 0.331 0.665
Al 0.361 0.241 0.120
Al 0.880 0.241 0.120
Al 0.665 0.331 0.996
Al 0.665 0.331 0.335
Pd 0.500 0.500 0.500
Pd 0.500 0.500 0.000
Pd 0.000 0.000 0.000
Pd 0.000 0.500 0.000
Pd 0.500 0.000 0.000
Pd 0.000 0.000 0.500
Pd 0.000 0.500 0.500
Hf 0.318 0.000 0.318
Hf 0.682 0.000 0.318
Hf 0.318 0.636 0.318
Hf 0.682 0.000 0.682
Hf 0.318 0.000 0.682
Hf 0.682 0.364 0.682



# Nb

Nb after structural relaxation (PBE, the Open Quantum Materials Database).

Calculated values
space group = P6_3/mmc
ΔE_f = 133.7 kJ per mole of atoms
spin magnetization = 0.00 μB per formula unit

a = 4.542 Å, b = 4.542 Å, c = 4.929 Å
α = 90.00°, β = 90.00°, γ = 120.00°
Fractional coordinates of all 4 atoms:
Nb 0.000 0.000 0.750
Nb 0.333 0.667 0.250
Nb 0.000 0.000 0.250
Nb 0.667 0.333 0.750



# ScBeTlCu

ScBeTlCu after structural relaxation (PBE, the Open Quantum Materials Database).

Calculated values
VASP energy = -3.98 eV/atom
space group = F-43m
spin magnetization = 0.00 μB per formula unit

a = 4.509 Å, b = 4.509 Å, c = 4.509 Å
α = 60.00°, β = 60.00°, γ = 60.00°
Fractional coordinates of all 4 atoms:
Be 0.250 0.250 0.250
Sc 0.500 0.500 0.500
Tl 0.000 0.000 0.000
Cu 0.750 0.750 0.750